[1]
First-principles (GGA-PBE) data for a relaxed CrRh2SeCl crystal, as listed in Alexandria.

The value obtained for the mass density is 6.435 Mg/m³. For the uncorrected formation energy, the calculation gives 807.2 meV per atom. As for the calculated total energy: -0.1883 Ha/atom. Its space-group type is P4/mmm.

a = 4.611 Å, b = 4.611 Å, c = 4.517 Å
α = 90.00°, β = 90.00°, γ = 90.00°
Fractional coordinates of all 5 atoms:
1 Cr 0.000 0.000 0.000
2 Rh 0.000 0.500 0.000
3 Rh 0.500 0.000 0.000
4 Se 0.000 0.000 0.500
5 Cl 0.500 0.500 0.500

***

[2]
First-principles (GGA-PBE) data for a relaxed Tb3Sc4 crystal, as listed in Alexandria.

The value obtained for the mass density is 5.668 Mg/m³. The formation energy from the elements is 5.1 kJ per mole of atoms. As for the calculated total energy: -0.2039 Ha/atom. Its space-group type is Immm.

a = 12.328 Å, b = 12.328 Å, c = 12.328 Å
α = 164.03°, β = 158.08°, γ = 27.24°
Fractional coordinates of all 7 atoms:
1 Tb 0.000 0.000 0.000
2 Tb 0.144 0.144 0.000
3 Tb 0.856 0.856 0.000
4 Sc 0.283 0.283 0.000
5 Sc 0.428 0.428 0.000
6 Sc 0.572 0.572 0.000
7 Sc 0.717 0.717 0.000

***

[3]
First-principles (GGA-PBE) data for a relaxed TbDy5In4 crystal, as listed in Alexandria.

The value obtained for the mass density is 8.576 Mg/m³. The formation energy from the elements is -36.2 kJ per mole of atoms. As for the calculated total energy: -0.1556 Ha/atom. Its space-group type is P4/mmm.

a = 3.568 Å, b = 3.568 Å, c = 21.763 Å
α = 90.00°, β = 90.00°, γ = 90.00°
Fractional coordinates of all 10 atoms:
1 Tb 0.000 0.000 0.000
2 Dy 0.500 0.500 0.115
3 Dy 0.500 0.500 0.307
4 Dy 0.500 0.500 0.500
5 Dy 0.500 0.500 0.693
6 Dy 0.500 0.500 0.885
7 In 0.000 0.000 0.211
8 In 0.000 0.000 0.404
9 In 0.000 0.000 0.596
10 In 0.000 0.000 0.789

***

[4]
First-principles (GGA-PBE) data for a relaxed CsScPdPb2 crystal, as listed in Alexandria.

The value obtained for the mass density is 5.869 Mg/m³. The formation energy from the elements is 65.5 kJ per mole of atoms. As for the calculated total energy: -0.1205 Ha/atom. Its space-group type is P4/mmm.

a = 5.599 Å, b = 5.599 Å, c = 6.306 Å
α = 90.00°, β = 90.00°, γ = 90.00°
Fractional coordinates of all 5 atoms:
1 Cs 0.000 0.000 0.000
2 Sc 0.000 0.000 0.500
3 Pd 0.500 0.500 0.000
4 Pb 0.000 0.500 0.500
5 Pb 0.500 0.000 0.500

***

[5]
First-principles (GGA-PBE) data for a relaxed Th3Pt2Se crystal, as listed in Alexandria.

The value obtained for the mass density is 12.082 Mg/m³. For the uncorrected formation energy, the calculation gives -1298.2 meV per atom. As for the calculated total energy: -0.2794 Ha/atom. Its space-group type is I4/mmm.

a = 9.703 Å, b = 9.703 Å, c = 9.703 Å
α = 155.23°, β = 155.23°, γ = 35.31°
Fractional coordinates of all 6 atoms:
1 Th 0.000 0.000 0.000
2 Th 0.328 0.328 0.000
3 Th 0.672 0.672 0.000
4 Pt 0.163 0.163 0.000
5 Pt 0.837 0.837 0.000
6 Se 0.500 0.500 0.000

***

[6]
First-principles (GGA-PBE) data for a relaxed CsMgAgCl4 crystal, as listed in Alexandria.

The value obtained for the mass density is 3.032 Mg/m³. For the uncorrected formation energy, the calculation gives -1480.4 meV per atom. As for the calculated total energy: -0.1210 Ha/atom. Its space-group type is P2_1/m.

a = 6.643 Å, b = 7.477 Å, c = 9.331 Å
α = 90.00°, β = 105.93°, γ = 90.00°
Fractional coordinates of all 14 atoms:
1 Cs 0.237 0.250 0.433
2 Cs 0.763 0.750 0.567
3 Mg 0.276 0.750 0.177
4 Mg 0.724 0.250 0.823
5 Ag 0.347 0.250 0.984
6 Ag 0.653 0.750 0.016
7 Cl 0.010 0.750 0.954
8 Cl 0.178 0.750 0.399
9 Cl 0.478 0.012 0.800
10 Cl 0.478 0.488 0.800
11 Cl 0.522 0.512 0.200
12 Cl 0.522 0.988 0.200
13 Cl 0.822 0.250 0.601
14 Cl 0.990 0.250 0.046

***

[7]
First-principles (GGA-PBE) data for a relaxed ScAsP2Cl crystal, as listed in Alexandria.

The value obtained for the mass density is 3.364 Mg/m³. For the uncorrected formation energy, the calculation gives 196.0 meV per atom. As for the calculated total energy: -0.1666 Ha/atom. As for the energy above the most stable polymorph in this dataset: 0.03 eV per formula unit. Its space-group type is P4/mmm.

a = 4.751 Å, b = 4.751 Å, c = 4.751 Å
α = 90.00°, β = 90.00°, γ = 90.00°
Fractional coordinates of all 5 atoms:
1 Sc 0.000 0.000 0.000
2 As 0.500 0.500 0.500
3 P 0.000 0.500 0.500
4 P 0.500 0.000 0.500
5 Cl 0.500 0.500 0.000

***

[8]
First-principles (GGA-PBE) data for a relaxed Tm4Tl3Ag crystal, as listed in Alexandria.

The value obtained for the mass density is 10.971 Mg/m³. The formation energy from the elements is -25.7 kJ per mole of atoms. As for the calculated total energy: -0.1377 Ha/atom. As for the energy above the most stable polymorph in this dataset: 0.37 eV per formula unit. Its space-group type is Pmm2.

a = 3.759 Å, b = 4.820 Å, c = 11.668 Å
α = 90.00°, β = 90.00°, γ = 90.00°
Fractional coordinates of all 8 atoms:
1 Tm 0.000 0.000 0.000
2 Tm 0.000 0.500 0.283
3 Tm 0.500 0.000 0.475
4 Tm 0.500 0.500 0.790
5 Tl 0.000 0.000 0.728
6 Tl 0.000 0.500 0.548
7 Tl 0.500 0.500 0.055
8 Ag 0.500 0.000 0.220

***

calculated total energy of number 7 (ScAsP2Cl)? -0.1666 Ha/atom